[1]
# NdPu5As6 (PBE, relaxed)
# size of the total moment: 49.88 Bohr magnetons per cell
# ΔE_f: -1098 meV per atom
# D(E_F): 97.332 states/eV/cell
data_NdPu5As6
_cell_length_a 7.203
_cell_length_b 12.475
_cell_length_c 7.206
_cell_angle_alpha 90.00
_cell_angle_beta 109.47
_cell_angle_gamma 90.00
_symmetry_space_group_name_H-M 'C 1 2/m 1'
_symmetry_Int_Tables_number 12
loop_
_symmetry_equiv_pos_as_xyz
'x,y,z'
'-x,-y,-z'
'-x,y,-z'
'x,-y,z'
'x+1/2,y+1/2,z'
'-x+1/2,-y+1/2,-z'
'-x+1/2,y+1/2,-z'
'x+1/2,-y+1/2,z'
loop_
_atom_site_label
_atom_site_fract_x
_atom_site_fract_y
_atom_site_fract_z
Nd1 0.000 0.000 0.000
Pu1 0.000 0.164 0.500
Pu2 0.000 0.333 0.000
Pu3 0.000 0.500 0.500
As1 0.244 0.500 0.253
As2 0.245 0.330 0.745

---

[2]
# KMg2Rh2 (PBE, relaxed)
# size of the total moment: 0.86 Bohr magnetons per cell
# relative energy among the computed polymorphs: 0.0 meV/atom
# ΔE_f: -36 meV per atom
# D(E_F): 10.847 states/eV/cell
data_KMg2Rh2
_cell_length_a 8.057
_cell_length_b 8.057
_cell_length_c 2.981
_cell_angle_alpha 90.00
_cell_angle_beta 90.00
_cell_angle_gamma 90.00
_symmetry_space_group_name_H-M 'P 4/m b m'
_symmetry_Int_Tables_number 127
_symmetry_space_group_name_Hall '-P 4 2ab'
loop_
_atom_site_label
_atom_site_fract_x
_atom_site_fract_y
_atom_site_fract_z
K1 0.000 0.000 0.000
Mg1 0.160 0.340 0.500
Rh1 0.124 0.624 0.000

---

[3]
# SiWAu (PBE, relaxed)
# size of the total moment: 0.00 Bohr magnetons per cell
# relative energy among the computed polymorphs: 139.7 meV/atom
# D(E_F): 9.415 states/eV/cell
data_SiWAu
_cell_length_a 5.898
_cell_length_b 5.898
_cell_length_c 5.898
_cell_angle_alpha 90.00
_cell_angle_beta 90.00
_cell_angle_gamma 90.00
_symmetry_space_group_name_H-M 'F -4 3 m'
_symmetry_Int_Tables_number 216
_symmetry_space_group_name_Hall 'F -4 2 3'
loop_
_atom_site_label
_atom_site_fract_x
_atom_site_fract_y
_atom_site_fract_z
Si1 0.000 0.000 0.000
W1 0.250 0.250 0.250
Au1 0.250 0.250 0.750

---

[4]
# Al2CoBr (PBE, relaxed)
# size of the total moment: 1.29 Bohr magnetons per cell
# relative energy among the computed polymorphs: 682.6 meV/atom
# D(E_F): 4.820 states/eV/cell
data_Al2CoBr
_cell_length_a 3.004
_cell_length_b 4.579
_cell_length_c 5.016
_cell_angle_alpha 90.00
_cell_angle_beta 90.00
_cell_angle_gamma 90.00
_symmetry_space_group_name_H-M 'P m m m'
_symmetry_Int_Tables_number 47
loop_
_symmetry_equiv_pos_as_xyz
'x,y,z'
'-x,-y,-z'
'-x,-y,z'
'x,y,-z'
'x,-y,-z'
'-x,y,z'
'-x,y,-z'
'x,-y,z'
loop_
_atom_site_label
_atom_site_fract_x
_atom_site_fract_y
_atom_site_fract_z
Al1 0.000 0.000 0.000
Al2 0.500 0.500 0.000
Co1 0.000 0.500 0.500
Br1 0.500 0.000 0.500

---

[5]
# CeDyMnIn (PBE, relaxed)
# size of the total moment: 9.53 Bohr magnetons per cell
# ΔE_f: -29 meV per atom
# D(E_F): 29.963 states/eV/cell
data_CeDyMnIn
_cell_length_a 7.403
_cell_length_b 7.403
_cell_length_c 7.403
_cell_angle_alpha 90.00
_cell_angle_beta 90.00
_cell_angle_gamma 90.00
_symmetry_space_group_name_H-M 'F -4 3 m'
_symmetry_Int_Tables_number 216
_symmetry_space_group_name_Hall 'F -4 2 3'
loop_
_atom_site_label
_atom_site_fract_x
_atom_site_fract_y
_atom_site_fract_z
Ce1 0.000 0.000 0.000
Dy1 0.000 0.000 0.500
Mn1 0.250 0.250 0.250
In1 0.250 0.250 0.750

---

[6]
# ScAgRhAu (PBE, relaxed)
# size of the total moment: 0.00 Bohr magnetons per cell
# ΔE_f: -554 meV per atom
# D(E_F): 0.695 states/eV/cell
data_ScAgRhAu
_cell_length_a 3.926
_cell_length_b 3.998
_cell_length_c 4.330
_cell_angle_alpha 90.00
_cell_angle_beta 90.00
_cell_angle_gamma 90.00
_symmetry_space_group_name_H-M 'P m m m'
_symmetry_Int_Tables_number 47
loop_
_symmetry_equiv_pos_as_xyz
'x,y,z'
'-x,-y,-z'
'-x,-y,z'
'x,y,-z'
'x,-y,-z'
'-x,y,z'
'-x,y,-z'
'x,-y,z'
loop_
_atom_site_label
_atom_site_fract_x
_atom_site_fract_y
_atom_site_fract_z
Sc1 0.000 0.000 0.000
Ag1 0.000 0.500 0.500
Rh1 0.500 0.500 0.000
Au1 0.500 0.000 0.500

---

[7]
# Er3NiRh2 (PBE, relaxed)
# size of the total moment: 0.00 Bohr magnetons per cell
# relative energy among the computed polymorphs: 0.0 meV/atom
# ΔE_f: -765 meV per atom
# D(E_F): 6.265 states/eV/cell
data_Er3NiRh2
_cell_length_a 4.7814
_cell_length_b 4.7814
_cell_length_c 11.7369
_cell_angle_alpha 90.00
_cell_angle_beta 90.00
_cell_angle_gamma 120.00
_symmetry_space_group_name_H-M 'P -3 m 1'
_symmetry_Int_Tables_number 164
_symmetry_space_group_name_Hall '-P 3 2"'
loop_
_atom_site_label
_atom_site_fract_x
_atom_site_fract_y
_atom_site_fract_z
Er1 0.0000 0.0000 0.2483
Er2 0.3333 0.6667 0.4153
Er3 0.3333 0.6667 0.9173
Ni1 0.3333 0.6667 0.1669
Rh1 0.0000 0.0000 0.0000
Rh2 0.0000 0.0000 0.5000
Rh3 0.3333 0.6667 0.6679

---

[8]
# Mg4Au5 (PBE, relaxed)
# size of the total moment: 0.00 Bohr magnetons per cell
# relative energy among the computed polymorphs: 49.4 meV/atom
# ΔE_f: -467 meV per atom
# D(E_F): 5.296 states/eV/cell
data_Mg4Au5
_cell_length_a 10.245
_cell_length_b 9.140
_cell_length_c 3.737
_cell_angle_alpha 90.00
_cell_angle_beta 111.25
_cell_angle_gamma 90.00
_symmetry_space_group_name_H-M 'C 1 2/m 1'
_symmetry_Int_Tables_number 12
loop_
_symmetry_equiv_pos_as_xyz
'x,y,z'
'-x,-y,-z'
'-x,y,-z'
'x,-y,z'
'x+1/2,y+1/2,z'
'-x+1/2,-y+1/2,-z'
'-x+1/2,y+1/2,-z'
'x+1/2,-y+1/2,z'
loop_
_atom_site_label
_atom_site_fract_x
_atom_site_fract_y
_atom_site_fract_z
Mg1 0.160 0.167 0.160
Au1 0.000 0.000 0.500
Au2 0.000 0.332 0.500
Au3 0.182 0.500 0.182